{"formula": "GeRu3Rh", "functional": "GGA-PBE", "state": "optimized geometry", "lattice_angstrom": [[-4.2027, 1.3437, -0.5746], [-1.4149, -4.1790, 0.5765], [-0.3656, 0.7272, 4.3745]], "species": ["Ru", "Ru", "Ru", "Ge", "Rh"], "frac_coords": [[0.0000, 0.5000, 0.0000], [0.0000, 0.0000, 0.5000], [0.5000, 0.0000, 0.0000], [0.0000, 0.0000, 0.0000], [0.5000, 0.5000, 0.5000]], "de_polymorph_mev_per_atom": 0, "spacegroup": "Pm-3m, No. 221"}

***

{"formula": "NdEr2Co9", "functional": "GGA-PBE", "state": "optimized geometry", "lattice_angstrom": [[-0.5796, -3.2567, 3.7627], [3.7488, -0.7912, 3.2280], [-1.7417, 4.5830, 7.0338]], "species": ["Nd", "Er", "Er", "Co", "Co", "Co", "Co", "Co", "Co", "Co", "Co", "Co"], "frac_coords": [[0.0000, 0.0000, 0.0000], [0.8596, 0.8596, 0.4212], [0.1404, 0.1404, 0.5788], [0.6647, 0.6647, 0.0059], [0.3353, 0.3353, 0.9941], [0.5000, 0.5000, 0.5000], [0.4152, 0.4152, 0.2480], [0.9217, 0.4152, 0.2480], [0.4152, 0.9217, 0.2480], [0.5848, 0.5848, 0.7520], [0.5848, 0.0783, 0.7520], [0.0783, 0.5848, 0.7520]], "spacegroup": "R-3m, No. 166"}

***

Formation enthalpy at 0 K: 1.337, -0.159 (eV/atom)
Uncorrected energy: -33.1, -79.8 (eV per cell)